Entry 1:
Below is a relaxed SiOs2Pb crystal, with properties calculated at the PBE-GGA level.

The structure in extended XYZ format:
```
4
Lattice="-3.3076 1.2579 -1.2644 -0.7460 -2.7422 -0.7766 -2.7988 -1.7907 5.5401" Properties=species:S:1:pos:R:3 pbc="T T T"
Os -1.9892 -2.4677 2.7486
Os -3.3280 -4.3316 4.3966
Si -4.3124 -2.7707 2.9404
Pb -2.5400 -0.5043 0.5587
```

- space-group type = P2/m, No. 10
- calculated total energy (eV/atom) = -7.361

Entry 2:
Below is a relaxed RbH2I3O9 crystal, with properties calculated at the PBE-GGA level.

The structure in extended XYZ format:
```
30
Lattice="-2.3049 -6.5608 3.1290 6.8983 -2.0120 2.9888 -0.4412 3.0342 7.7700" Properties=species:S:1:pos:R:3 pbc="T T T"
O 0.9372 -3.7928 8.3762
I 0.2477 -4.3659 6.6555
O 1.6566 -1.2948 10.5981
I 5.6667 0.1302 7.9424
Rb 0.5466 -1.5933 2.9031
O 6.5480 -2.0084 2.9094
I 4.3751 -1.0045 4.2519
O 1.8727 1.4343 7.1079
O 5.1068 -5.8990 5.6928
O 4.3222 -2.1663 10.4634
H -0.9908 -0.2093 7.8784
H 2.0106 -1.2371 9.6486
I -1.1072 -5.5983 2.9204
O 4.3805 -2.6300 5.0390
O -0.5784 0.4352 5.1235
Rb 4.0339 -3.7483 8.0342
I 3.4553 -5.1701 3.9555
H 1.8012 -7.5930 4.9584
O -1.9756 -3.4646 8.0396
O 0.2408 -2.7316 5.8783
O 3.6341 -1.5727 2.5461
O 2.7164 -0.3917 4.7987
O 2.3359 -3.8201 11.5611
O -0.0470 -0.2583 8.2657
I 1.3451 -0.3023 6.9135
O 1.8922 -4.9846 6.1288
O 3.0478 -6.3918 9.2518
O -0.7379 -5.5343 4.7196
H 0.4777 -4.3602 9.0843
O 2.5530 -1.0791 8.0274
```

- space-group type = P1, No. 1
- calculated total energy (eV/atom) = -4.449

Entry 3:
Below is a relaxed Ac3ZnPd4 crystal, with properties calculated at the PBE-GGA level.

The structure in extended XYZ format:
```
8
Lattice="4.5058 0.0000 0.0000 0.0000 5.8962 0.0000 -2.2529 -2.9481 8.1567" Properties=species:S:1:pos:R:3 pbc="T T T"
Ac 2.2529 2.9481 4.9653
Zn 2.2529 0.0000 0.0000
Pd 2.2529 1.6007 1.9731
Ac 0.0000 0.0000 3.1914
Pd 0.0000 -1.3474 6.1836
Ac 0.0000 2.9481 0.0000
Pd 0.0000 1.3474 6.1836
Pd 2.2529 4.2955 1.9731
```

- calculated formation energy (eV per atom) = -0.703
- space-group type = Immm, No. 71

Entry 4:
Below is a relaxed Ac2BeAl4Pt3 crystal, with properties calculated at the PBE-GGA level.

The structure in extended XYZ format:
```
10
Lattice="4.3864 0.0000 0.0000 0.0000 4.3864 0.0000 0.0000 0.0000 10.5682" Properties=species:S:1:pos:R:3 pbc="T T T"
Al 0.0000 2.1932 4.0101
Pt 0.0000 2.1932 1.3779
Ac 2.1932 0.0000 2.7018
Pt 0.0000 0.0000 5.2841
Be 2.1932 2.1932 5.2841
Pt 2.1932 0.0000 9.1903
Al 0.0000 0.0000 0.0000
Al 2.1932 0.0000 6.5581
Al 2.1932 2.1932 0.0000
Ac 0.0000 2.1932 7.8664
```

- calculated formation energy (eV per atom) = -0.862
- space-group type = P-4m2, No. 115

Entry 5:
Below is a relaxed Cd2HgRh crystal, with properties calculated at the PBE-GGA level.

The structure in extended XYZ format:
```
4
Lattice="-1.4445 2.3279 1.5400 -3.1800 -2.3828 0.6190 2.4601 -1.9270 5.2206" Properties=species:S:1:pos:R:3 pbc="T T T"
Cd -1.7027 -0.5050 2.3732
Cd 2.4072 -1.8855 5.1083
Rh -0.4449 -1.4903 5.0424
Hg 1.2660 -0.9917 2.6866
```

- calculated formation energy (eV per atom) = 0.040
- space-group type = Pmm2, No. 25

Entry 6:
Below is a relaxed Pm3ErTm2Se6 crystal, with properties calculated at the PBE-GGA level.

The structure in extended XYZ format:
```
12
Lattice="-2.3139 -3.0772 1.2832 4.2067 -5.2283 -4.9525 5.5989 1.4763 7.2192" Properties=species:S:1:pos:R:3 pbc="T T T"
Se 6.8027 -4.7825 0.7981
Se 1.0519 -1.2635 -1.1333
Tm 2.8767 -1.7593 0.9685
Pm 0.9464 -4.1528 -1.8347
Se 4.7215 -2.2728 3.0639
Se 6.4398 -5.5657 4.6832
Pm 2.5126 -2.4542 5.0632
Pm 4.9791 -4.3751 -1.5133
Tm 4.6150 -5.0699 2.5815
Se 2.7702 -4.5565 0.4860
Se 0.6890 -2.0467 2.7518
Er -1.1570 -1.5386 0.6416
```

- space-group type = C2/m, No. 12
- calculated total energy (eV/atom) = -5.817

Number 1: spin magnetization 0.000 μB/atom. Number 2: spin magnetization 0.000 μB/atom. Number 3: spin magnetization 0.000 μB/atom. Number 4: spin magnetization 0.000 μB/atom. Number 5: spin magnetization 0.000 μB/atom. Number 6: spin magnetization 0.000 μB/atom.